No. 1
A geometry-optimized Ca4Zn2Cu3P5 structure. Source: Alexandria, functional GGA-PBE.

a = 4.0408 Å, b = 4.0408 Å, c = 37.4101 Å
α = 90.00°, β = 90.00°, γ = 120.00°
Space group P6_3/mmc (No. 194)
Asymmetric unit:
Ca  0.0000  0.0000  0.0914 [4 per cell]
Ca  0.0000  0.0000  0.1970 [4 per cell]
Zn  0.3333  0.6667  0.0245 [4 per cell]
Cu  0.3333  0.6667  0.2500 [2 per cell]
Cu  0.3333  0.6667  0.6437 [4 per cell]
P  0.3333  0.6667  0.1441 [4 per cell]
P  0.3333  0.6667  0.5435 [4 per cell]
P  0.3333  0.6667  0.7500 [2 per cell]

Output
Energy of formation: -1088 kJ/mol of formula units
DOS(E_F): 0.100 states/eV per atom
Density: 4.0 Mg/m³

=====

No. 2
A geometry-optimized MgRhSe2 structure. Source: Alexandria, functional GGA-PBE.

a = 6.599 Å, b = 6.599 Å, c = 6.599 Å
α = 90.00°, β = 90.00°, γ = 90.00°
Space group F-43m (No. 216)
Asymmetric unit:
Mg  0.000  0.000  0.000 [4 per cell]
Rh  0.250  0.250  0.750 [4 per cell]
Se  0.000  0.000  0.500 [4 per cell]
Se  0.250  0.250  0.250 [4 per cell]

Output
DOS(E_F): 0.910 states/eV per atom
Formation energy without anion corrections: 10.0 kJ/mol of atoms
Density: 6.6 Mg/m³

=====

No. 3
A geometry-optimized Li4Dy3TiS8 structure. Source: Alexandria, functional GGA-PBE.

a = 7.6380 Å, b = 7.6380 Å, c = 18.4643 Å
α = 90.00°, β = 90.00°, γ = 120.00°
Space group R-3m (No. 166, hexagonal axes)
Asymmetric unit:
Li  0.0000  0.0000  0.0000 [3 per cell]
Li  0.0000  0.5000  0.0000 [9 per cell]
Dy  0.0000  0.5000  0.5000 [9 per cell]
Ti  0.0000  0.0000  0.5000 [3 per cell]
S  0.0000  0.0000  0.2517 [6 per cell]
S  0.0191  0.5095  0.2481 [18 per cell]

Output
DOS(E_F): 0.318 states/eV per atom
Formation energy without anion corrections: -164.0 kJ/mol of atoms
Density: 4.4 Mg/m³

=====

No. 4
A geometry-optimized Pm12Ir6Au structure. Source: Alexandria, functional GGA-PBE.

a = 10.147 Å, b = 10.147 Å, c = 10.147 Å
α = 90.00°, β = 90.00°, γ = 90.00°
Space group Im-3 (No. 204)
Asymmetric unit:
Pm  0.000  0.191  0.301 [24 per cell]
Ir  0.000  0.374  0.500 [12 per cell]
Au  0.000  0.000  0.000 [2 per cell]

Output
Energy of formation: -937 kJ/mol of formula units
DOS(E_F): 0.810 states/eV per atom
Density: 9.8 Mg/m³

=====

No. 5
A geometry-optimized PmNd2Sc2 structure. Source: Alexandria, functional GGA-PBE.

a = 6.569 Å, b = 15.733 Å, c = 6.590 Å
α = 90.00°, β = 117.16°, γ = 90.00°
Space group C2/c (No. 15)
Asymmetric unit:
Pm  0.000  0.159  0.250 [4 per cell]
Nd  0.247  0.454  0.002 [8 per cell]
Sc  0.000  0.249  0.750 [4 per cell]
Sc  0.000  0.350  0.250 [4 per cell]

Output
Energy of formation: 51 kJ/mol of formula units
Excess energy over the best structure of this formula in the dataset: 0.00 eV per formula unit
DOS(E_F): 1.795 states/eV per atom
Density: 5.7 Mg/m³

=====

No. 6
A geometry-optimized CuAg2BrCl structure. Source: Alexandria, functional GGA-PBE.

a = 5.369 Å, b = 5.369 Å, c = 4.727 Å
α = 90.00°, β = 90.00°, γ = 90.00°
Space group P4/mmm (No. 123)
Asymmetric unit:
Cu  0.000  0.000  0.000 [1 per cell]
Ag  0.000  0.500  0.500 [2 per cell]
Br  0.000  0.000  0.500 [1 per cell]
Cl  0.500  0.500  0.000 [1 per cell]

Output
DOS(E_F): 0.461 states/eV per atom
Formation energy without anion corrections: 36.1 kJ/mol of atoms
Density: 4.8 Mg/m³

=====

No. 7
A geometry-optimized CaPaIr4 structure. Source: Alexandria, functional GGA-PBE.

a = 7.577 Å, b = 7.577 Å, c = 7.577 Å
α = 90.00°, β = 90.00°, γ = 90.00°
Space group F-43m (No. 216)
Asymmetric unit:
Ca  0.000  0.000  0.000 [4 per cell]
Pa  0.250  0.250  0.250 [4 per cell]
Ir  0.126  0.126  0.626 [16 per cell]

Output
Energy of formation: -375 kJ/mol of formula units
DOS(E_F): 0.806 states/eV per atom
Density: 15.9 Mg/m³

=====

No. 8
A geometry-optimized YCuPd6 structure. Source: Alexandria, functional GGA-PBE.

a = 4.039 Å, b = 4.039 Å, c = 7.981 Å
α = 90.00°, β = 90.00°, γ = 90.00°
Space group P4/mmm (No. 123)
Asymmetric unit:
Y  0.000  0.000  0.000 [1 per cell]
Cu  0.000  0.000  0.500 [1 per cell]
Pd  0.000  0.500  0.266 [4 per cell]
Pd  0.500  0.500  0.000 [1 per cell]
Pd  0.500  0.500  0.500 [1 per cell]

Output
Energy of formation: -324 kJ/mol of formula units
Excess energy over the best structure of this formula in the dataset: 0.00 eV per formula unit
DOS(E_F): 1.254 states/eV per atom
Density: 10.1 Mg/m³

=====

No. 9
A geometry-optimized CaThTl2 structure. Source: Alexandria, functional GGA-PBE.

a = 3.626 Å, b = 3.626 Å, c = 8.846 Å
α = 90.00°, β = 90.00°, γ = 90.00°
Space group P4/mmm (No. 123)
Asymmetric unit:
Ca  0.000  0.000  0.000 [1 per cell]
Th  0.000  0.000  0.500 [1 per cell]
Tl  0.500  0.500  0.244 [2 per cell]

Output
Energy of formation: -108 kJ/mol of formula units
DOS(E_F): 0.692 states/eV per atom
Density: 9.7 Mg/m³

=====

No. 10
A geometry-optimized Mn12Co6Ru structure. Source: Alexandria, functional GGA-PBE.

a = 10.4414 Å, b = 10.4414 Å, c = 7.3639 Å
α = 90.00°, β = 90.00°, γ = 120.00°
Space group R-3 (No. 148, hexagonal axes)
Asymmetric unit:
Mn  0.0430  0.1752  0.2542 [18 per cell]
Mn  0.0595  0.2684  0.9482 [18 per cell]
Co  0.0308  0.2324  0.5585 [18 per cell]
Ru  0.0000  0.0000  0.0000 [3 per cell]

Output
Energy of formation: 344 kJ/mol of formula units
DOS(E_F): 1.130 states/eV per atom
Density: 8.0 Mg/m³

=====

No. 11
A geometry-optimized Rb2Hg2Te3 structure. Source: Alexandria, functional GGA-PBE.

a = 18.397 Å, b = 16.920 Å, c = 8.105 Å
α = 90.00°, β = 115.86°, γ = 90.00°
Space group C2/c (No. 15)
Asymmetric unit:
Rb  0.000  0.068  0.250 [4 per cell]
Rb  0.000  0.214  0.750 [4 per cell]
Rb  0.114  0.412  0.578 [8 per cell]
Hg  0.184  0.227  0.250 [8 per cell]
Hg  0.225  0.076  0.805 [8 per cell]
Te  0.111  0.373  0.075 [8 per cell]
Te  0.147  0.207  0.564 [8 per cell]
Te  0.163  0.071  0.081 [8 per cell]

Output
Excess energy over the best structure of this formula in the dataset: 0.00 eV per formula unit
Formation energy without anion corrections: -56.1 kJ/mol of atoms
Density: 5.6 Mg/m³

=====

No. 12
A geometry-optimized CsRb3S structure. Source: Alexandria, functional GGA-PBE.

a = 7.719 Å, b = 7.719 Å, c = 7.719 Å
α = 90.00°, β = 90.00°, γ = 90.00°
Space group Pm-3m (No. 221)
Asymmetric unit:
Cs  0.000  0.000  0.000 [1 per cell]
Rb  0.000  0.000  0.500 [3 per cell]
S  0.500  0.500  0.500 [1 per cell]

Output
Excess energy over the best structure of this formula in the dataset: 4.81 eV per formula unit
DOS(E_F): 0.035 states/eV per atom
Formation energy without anion corrections: 47.0 kJ/mol of atoms
Density: 1.5 Mg/m³

=====

No. 13
A geometry-optimized Ce2SiSb structure. Source: Alexandria, functional GGA-PBE.

a = 4.3193 Å, b = 4.3193 Å, c = 21.4115 Å
α = 90.00°, β = 90.00°, γ = 120.00°
Space group R-3m (No. 166, hexagonal axes)
Asymmetric unit:
Ce  0.0000  0.0000  0.2431 [6 per cell]
Si  0.0000  0.0000  0.5000 [3 per cell]
Sb  0.0000  0.0000  0.0000 [3 per cell]

Output
Excess energy over the best structure of this formula in the dataset: 0.00 eV per formula unit
DOS(E_F): 1.997 states/eV per atom
Formation energy without anion corrections: -72.6 kJ/mol of atoms
Density: 6.2 Mg/m³

=====

No. 14
A geometry-optimized LaCe2Sm3N6 structure. Source: Alexandria, functional GGA-PBE.

a = 6.247 Å, b = 10.819 Å, c = 6.234 Å
α = 90.00°, β = 109.54°, γ = 90.00°
Space group C2/m (No. 12)
Asymmetric unit:
La  0.000  0.000  0.000 [2 per cell]
Ce  0.000  0.333  0.000 [4 per cell]
Sm  0.000  0.168  0.500 [4 per cell]
Sm  0.000  0.500  0.500 [2 per cell]
N  0.234  0.500  0.245 [4 per cell]
N  0.245  0.326  0.755 [8 per cell]

Output
DOS(E_F): 0.450 states/eV per atom
Formation energy without anion corrections: -142.1 kJ/mol of atoms
Density: 8.0 Mg/m³

=====

No. 15
A geometry-optimized Pm2TlSn2 structure. Source: Alexandria, functional GGA-PBE.

a = 5.4459 Å, b = 5.4459 Å, c = 6.3888 Å
α = 90.00°, β = 90.00°, γ = 120.00°
Space group P-3m1 (No. 164)
Asymmetric unit:
Pm  0.3333  0.6667  0.2363 [2 per cell]
Tl  0.0000  0.0000  0.0000 [1 per cell]
Sn  0.3333  0.6667  0.7250 [2 per cell]

Output
Energy of formation: -193 kJ/mol of formula units
DOS(E_F): 0.588 states/eV per atom
Density: 7.4 Mg/m³

=====

No. 16
A geometry-optimized CaRuC2S structure. Source: Alexandria, functional GGA-PBE.

a = 4.028 Å, b = 4.028 Å, c = 4.382 Å
α = 90.00°, β = 90.00°, γ = 90.00°
Space group P4/mmm (No. 123)
Asymmetric unit:
Ca  0.000  0.000  0.000 [1 per cell]
Ru  0.500  0.500  0.000 [1 per cell]
C  0.000  0.500  0.500 [2 per cell]
S  0.500  0.500  0.500 [1 per cell]

Output
DOS(E_F): 0.641 states/eV per atom
Formation energy without anion corrections: 163.1 kJ/mol of atoms
Density: 4.6 Mg/m³

=====

No. 17
A geometry-optimized Pm3Sm2Tl3 structure. Source: Alexandria, functional GGA-PBE.

a = 4.505 Å, b = 5.051 Å, c = 21.145 Å
α = 90.00°, β = 90.00°, γ = 90.00°
Space group Immm (No. 71)
Asymmetric unit:
Pm  0.000  0.000  0.000 [2 per cell]
Pm  0.000  0.500  0.119 [4 per cell]
Sm  0.000  0.000  0.237 [4 per cell]
Tl  0.000  0.000  0.500 [2 per cell]
Tl  0.000  0.500  0.373 [4 per cell]

Output
Energy of formation: -212 kJ/mol of formula units
DOS(E_F): 1.060 states/eV per atom
Density: 9.3 Mg/m³

=====

No. 18
A geometry-optimized Co2SbRh structure. Source: Alexandria, functional GGA-PBE.

a = 3.880 Å, b = 3.880 Å, c = 7.364 Å
α = 90.00°, β = 90.00°, γ = 90.00°
Space group I-4m2 (No. 119)
Asymmetric unit:
Co  0.000  0.000  0.000 [2 per cell]
Co  0.000  0.500  0.250 [2 per cell]
Sb  0.000  0.000  0.500 [2 per cell]
Rh  0.000  0.500  0.750 [2 per cell]

Output
DOS(E_F): 0.932 states/eV per atom
Formation energy without anion corrections: -4.7 kJ/mol of atoms
Density: 10.3 Mg/m³

=====

No. 19
A geometry-optimized LaPrBN3 structure. Source: Alexandria, functional GGA-PBE.

a = 5.7184 Å, b = 5.7184 Å, c = 6.5043 Å
α = 90.00°, β = 90.00°, γ = 120.00°
Space group P6_3/mmc (No. 194)
Asymmetric unit:
La  0.3333  0.6667  0.2500 [2 per cell]
Pr  0.0000  0.0000  0.0000 [2 per cell]
B  0.3333  0.6667  0.7500 [2 per cell]
N  0.1858  0.3716  0.7500 [6 per cell]

Output
Formation energy without anion corrections: -104.0 kJ/mol of atoms
Density: 6.0 Mg/m³

=====

No. 20
A geometry-optimized U3Ga2 structure. Source: Alexandria, functional GGA-PBE.

a = 5.7801 Å, b = 5.7801 Å, c = 11.2183 Å
α = 90.00°, β = 90.00°, γ = 120.00°
Space group R-3m (No. 166, hexagonal axes)
Asymmetric unit:
U  0.0000  0.5000  0.0000 [9 per cell]
Ga  0.0000  0.0000  0.1121 [6 per cell]

Output
Energy of formation: 80 kJ/mol of formula units
DOS(E_F): 2.606 states/eV per atom
Density: 13.1 Mg/m³

=====

No. 21
A geometry-optimized Ce5Ir2Os2 structure. Source: Alexandria, functional GGA-PBE.

a = 16.800 Å, b = 7.067 Å, c = 7.244 Å
α = 90.00°, β = 90.00°, γ = 90.00°
Space group Ima2 (No. 46)
Asymmetric unit:
Ce  0.070  0.180  0.000 [8 per cell]
Ce  0.148  0.687  0.132 [8 per cell]
Ce  0.250  0.125  0.272 [4 per cell]
Ir  0.000  0.000  0.690 [4 per cell]
Ir  0.250  0.513  0.420 [4 per cell]
Os  0.080  0.526  0.824 [8 per cell]

Output
Energy of formation: -323 kJ/mol of formula units
DOS(E_F): 1.656 states/eV per atom
Density: 11.3 Mg/m³

=====

No. 22
A geometry-optimized PmCl6F2 structure. Source: Alexandria, functional GGA-PBE.

a = 3.640 Å, b = 7.993 Å, c = 10.416 Å
α = 105.64°, β = 99.76°, γ = 102.82°
Space group P-1 (No. 2)
Asymmetric unit:
Pm  0.000  0.000  0.000 [1 per cell]
Cl  0.050  0.438  0.665 [2 per cell]
Cl  0.064  0.816  0.312 [2 per cell]
Cl  0.202  0.127  0.285 [2 per cell]
F  0.416  0.826  0.001 [2 per cell]

Output
DOS(E_F): 0.707 states/eV per atom
Formation energy without anion corrections: -135.9 kJ/mol of atoms
Density: 2.4 Mg/m³